Here is crystalline NdScOs at its relaxed geometry from Alexandria via LeMat-Bulk. Energies are from GGA-PBE.

Cell and atoms, written as POSCAR:
```
NdScOs
1.0
-3.293 0.456 -0.318
-0.531 -3.146 0.987
1.595 3.317 5.779
Sc Os Nd
1 1 1
direct
0.289 0.289 0.578 Sc
0.678 0.678 0.356 Os
0.033 0.033 0.067 Nd
```

## Properties
Crystal system   tetragonal
Offset from the most stable computed form   0.000 eV per atom
Size of the total moment   0.00 μB per cell
Energy of formation from the pure elements   -0.17 eV per atom
Symmetry   I4mm (107)
DFT total energy   -22.8 eV per cell

Here is crystalline NdScOs at its relaxed geometry from Alexandria via LeMat-Bulk. Energies are from GGA-PBE.

Cell and atoms, written as POSCAR:
```
NdScOs
1.0
-4.459 -3.362 -3.753
-1.725 -3.697 5.360
-3.364 5.393 2.637
Os Sc Nd
4 4 4
direct
0.514 0.473 0.221 Os
0.486 0.527 0.779 Os
0.014 0.027 0.721 Os
0.986 0.973 0.279 Os
0.206 0.342 0.913 Sc
0.794 0.658 0.087 Sc
0.294 0.842 0.587 Sc
0.706 0.158 0.413 Sc
0.297 0.836 0.081 Nd
0.797 0.664 0.581 Nd
0.703 0.164 0.919 Nd
0.203 0.336 0.419 Nd
```

## Properties
Crystal system   monoclinic
Offset from the most stable computed form   0.109 eV per atom
Size of the total moment   0.00 μB per cell
Energy of formation from the pure elements   -0.06 eV per atom
Symmetry   P2_1/c (14)
DFT total energy   -90.0 eV per cell

Here is crystalline Nd2ScOs at its relaxed geometry from Alexandria via LeMat-Bulk. Energies are from GGA-PBE.

Cell and atoms, written as POSCAR:
```
Nd2ScOs
1.0
3.436 0.000 0.000
1.718 2.976 0.000
1.718 0.992 10.732
Sc Nd Os
1 2 1
direct
0.000 0.000 0.000 Sc
0.101 0.101 0.697 Nd
0.899 0.899 0.303 Nd
0.500 0.500 0.500 Os
```

## Properties
Crystal system   trigonal
Size of the total moment   0.00 μB per cell
Energy of formation from the pure elements   0.45 eV per atom
Symmetry   R-3m (166)
DFT total energy   -25.3 eV per cell

Here is crystalline NdScOs at its relaxed geometry from Alexandria via LeMat-Bulk. Energies are from GGA-PBE.

Cell and atoms, written as POSCAR:
```
NdScOs
1.0
4.722 0.000 0.000
2.361 4.089 0.000
2.361 1.363 3.855
Sc Nd Os
1 1 1
direct
0.000 0.000 0.000 Sc
0.500 0.500 0.500 Nd
0.250 0.250 0.250 Os
```

## Properties
Crystal system   cubic
Offset from the most stable computed form   0.079 eV per atom
Size of the total moment   0.00 μB per cell
Energy of formation from the pure elements   -0.09 eV per atom
Symmetry   F-43m (216)
DFT total energy   -22.6 eV per cell

Here is crystalline Nd2OsSe at its relaxed geometry from Alexandria via LeMat-Bulk. Energies are from GGA-PBE.

Cell and atoms, written as POSCAR:
```
Nd2OsSe
1.0
4.165 0.000 0.000
2.082 3.607 0.000
2.082 1.202 7.171
Nd Os Se
2 1 1
direct
0.743 0.743 0.772 Nd
0.257 0.257 0.228 Nd
0.000 0.000 0.000 Os
0.500 0.500 0.500 Se
```

## Properties
Crystal system   trigonal
Size of the total moment   0.00 μB per cell
Symmetry   R-3m (166)
Formation energy without anion corrections   -0.650 eV/atom
DFT total energy   -26.9 eV per cell

Here is crystalline Nd3Si2Os at its relaxed geometry from Alexandria via LeMat-Bulk. Energies are from GGA-PBE.

Cell and atoms, written as POSCAR:
```
Nd3Si2Os
1.0
4.255 0.000 0.000
0.000 11.710 0.000
0.000 0.000 11.919
Nd Si Os
12 8 4
direct
0.250 0.380 0.062 Nd
0.750 0.620 0.938 Nd
0.750 0.880 0.438 Nd
0.250 0.120 0.562 Nd
0.250 0.701 0.208 Nd
0.750 0.299 0.792 Nd
0.750 0.201 0.292 Nd
0.250 0.799 0.708 Nd
0.250 0.442 0.380 Nd
0.750 0.558 0.620 Nd
0.750 0.942 0.120 Nd
0.250 0.058 0.880 Nd
0.250 0.686 0.468 Si
0.750 0.314 0.532 Si
0.750 0.186 0.032 Si
0.250 0.814 0.968 Si
0.250 0.013 0.300 Si
0.750 0.987 0.700 Si
0.750 0.513 0.200 Si
0.250 0.487 0.800 Si
0.250 0.139 0.128 Os
0.750 0.861 0.872 Os
0.750 0.639 0.372 Os
0.250 0.361 0.628 Os
```

## Properties
Crystal system   orthorhombic
Size of the total moment   0.00 μB per cell
Symmetry   Pnma (62)
Formation energy without anion corrections   -0.549 eV/atom
DFT total energy   -158.7 eV per cell

Here is crystalline Nd3Si4Os2 at its relaxed geometry from Alexandria via LeMat-Bulk. Energies are from GGA-PBE.

Cell and atoms, written as POSCAR:
```
Nd3Si4Os2
1.0
4.234 0.000 0.000
-2.117 5.575 -0.126
0.000 -2.425 7.837
Nd Si Os
3 4 2
direct
0.610 0.219 0.698 Nd
0.000 0.000 0.000 Nd
0.390 0.781 0.302 Nd
0.721 0.442 0.081 Si
0.279 0.558 0.919 Si
0.890 0.780 0.593 Si
0.110 0.220 0.407 Si
0.690 0.380 0.357 Os
0.310 0.620 0.643 Os
```

## Properties
Crystal system   monoclinic
Size of the total moment   0.00 μB per cell
Symmetry   C2/m (12)
Formation energy without anion corrections   -0.680 eV/atom
DFT total energy   -64.6 eV per cell

Here is crystalline NdSi2Os at its relaxed geometry from Alexandria via LeMat-Bulk. Energies are from GGA-PBE.

Cell and atoms, written as POSCAR:
```
NdSi2Os
1.0
4.787 0.000 0.000
2.393 4.145 0.000
2.393 1.382 3.581
Nd Si Os
1 2 1
direct
0.500 0.500 0.500 Nd
0.237 0.237 0.290 Si
0.763 0.763 0.710 Si
0.000 0.000 0.000 Os
```

## Properties
Crystal system   trigonal
Size of the total moment   0.00 μB per cell
Symmetry   R-3m (166)
Formation energy without anion corrections   -0.048 eV/atom
DFT total energy   -27.0 eV per cell

Here is crystalline NdSi2Os at its relaxed geometry from Alexandria via LeMat-Bulk. Energies are from GGA-PBE.

Cell and atoms, written as POSCAR:
```
NdSi2Os
1.0
-2.152 -0.758 -3.466
-5.811 -1.256 3.883
-2.499 9.762 -0.584
Nd Si Os
4 8 4
direct
0.750 0.652 0.377 Nd
0.750 0.152 0.123 Nd
0.250 0.348 0.623 Nd
0.250 0.848 0.877 Nd
0.750 0.688 0.079 Si
0.250 0.312 0.921 Si
0.750 0.188 0.421 Si
0.250 0.812 0.579 Si
0.750 0.154 0.813 Si
0.250 0.346 0.313 Si
0.750 0.654 0.687 Si
0.250 0.846 0.187 Si
0.250 0.015 0.389 Os
0.750 0.985 0.611 Os
0.250 0.515 0.111 Os
0.750 0.485 0.889 Os
```

## Properties
Crystal system   orthorhombic
Size of the total moment   0.00 μB per cell
Symmetry   Pnma (62)
Formation energy without anion corrections   -0.684 eV/atom
DFT total energy   -118.3 eV per cell

Here is crystalline NdSi2Os4 at its relaxed geometry from Alexandria via LeMat-Bulk. Energies are from GGA-PBE.

Cell and atoms, written as POSCAR:
```
NdSi2Os4
1.0
3.993 0.000 0.000
0.000 4.009 0.000
0.000 -2.004 7.132
Nd Si Os
1 2 4
direct
0.000 0.000 0.000 Nd
0.500 0.586 0.172 Si
0.500 0.414 0.828 Si
0.500 0.812 0.625 Os
0.000 0.690 0.381 Os
0.500 0.188 0.375 Os
0.000 0.310 0.619 Os
```

## Properties
Crystal system   orthorhombic
Size of the total moment   0.00 μB per cell
Symmetry   Cmmm (65)
Formation energy without anion corrections   -0.477 eV/atom
DFT total energy   -63.9 eV per cell